This record from Alexandria via LeMat-Bulk describes an optimized crystal structure of Li2MnNiO4. The functional is GGA+U.

Unit cell a=5.8209 b=5.8734 c=5.8734 alpha=89.81 beta=60.29 gamma=60.29
Atoms (fractional coordinates):
O (0.4954, 0.2331, 0.7669)
Ni (0.0000, 0.5000, 0.0000)
O (0.5046, 0.7669, 0.2331)
Li (0.0000, 0.4999, 0.5000)
O (0.4730, 0.7760, 0.7780)
Ni (0.5000, 0.0000, 0.5000)
O (0.0045, 0.2331, 0.7669)
Li (0.5000, 0.5000, 0.5001)
O (0.9730, 0.7780, 0.7760)
O (0.9954, 0.7669, 0.2331)
Li (0.0000, 0.9999, 0.5000)
Li (0.5000, 0.5000, 0.0001)
O (0.5270, 0.2240, 0.2220)
Mn (0.5000, 0.0000, 0.0000)
Mn (0.0000, 0.0000, 0.0000)
O (0.0270, 0.2220, 0.2240)

For the energy above the most stable polymorph in this dataset, the calculation gives 0 meV per atom. The energy comes out at -93.063 eV per cell. As for the volume: 143.5 Å³/cell. The space-group type is Imma, No. 74. Its crystal system is orthorhombic.